Record 1
# PBE K2YMn, optimized geometry
data_K2YMn
_cell_length_a 7.2781
_cell_length_b 7.2781
_cell_length_c 3.5786
_cell_angle_alpha 90.00
_cell_angle_beta 90.00
_cell_angle_gamma 126.00
_symmetry_space_group_name_H-M 'P 1'
_symmetry_Int_Tables_number 1
_symmetry_space_group_name_Hall 'P 1'
loop_
_atom_site_label
_atom_site_type_symbol
_atom_site_fract_x
_atom_site_fract_y
_atom_site_fract_z
K1 K 0.0000 0.0000 0.0000
K2 K 0.5000 0.5000 0.0000
Mn1 Mn 0.5000 0.0000 0.5000
Y1 Y 0.0000 0.5000 0.5000
# ΔE_f in eV per formula unit: 3.6
# Energy above the lowest structure with this stoichiometry in meV/atom: 437
# DFT total energy in eV per atom: -3.565
# Total magnetic moment in μB/atom: 0.849

Record 2
# PBE KY4Mn, optimized geometry
data_KY4Mn
_cell_length_a 6.6595
_cell_length_b 6.6595
_cell_length_c 6.6595
_cell_angle_alpha 60.00
_cell_angle_beta 60.00
_cell_angle_gamma 60.00
_symmetry_space_group_name_H-M 'P 1'
_symmetry_Int_Tables_number 1
_symmetry_space_group_name_Hall 'P 1'
loop_
_atom_site_label
_atom_site_type_symbol
_atom_site_fract_x
_atom_site_fract_y
_atom_site_fract_z
Y1 Y 0.3726 0.3726 0.3726
Y2 Y 0.3726 0.8822 0.3726
Y3 Y 0.8822 0.3726 0.3726
Y4 Y 0.3726 0.3726 0.8822
Mn1 Mn 0.0000 0.0000 0.0000
K1 K 0.7500 0.7500 0.7500
# ΔE_f in eV per formula unit: 4.5
# DFT total energy in eV per atom: -5.273
# Total magnetic moment in μB/atom: 0.717

Record 3
# PBE K2YMn, optimized geometry
data_K2YMn
_cell_length_a 6.7810
_cell_length_b 3.6482
_cell_length_c 5.7918
_cell_angle_alpha 86.68
_cell_angle_beta 90.00
_cell_angle_gamma 90.00
_symmetry_space_group_name_H-M 'P 1'
_symmetry_Int_Tables_number 1
_symmetry_space_group_name_Hall 'P 1'
loop_
_atom_site_label
_atom_site_type_symbol
_atom_site_fract_x
_atom_site_fract_y
_atom_site_fract_z
Mn1 Mn 0.5000 0.2500 0.2500
K1 K 0.0000 0.0193 0.0131
K2 K 0.0000 0.4807 0.4869
Y1 Y 0.5000 0.7500 0.7500
# ΔE_f in eV per formula unit: 3.2
# Energy above the lowest structure with this stoichiometry in meV/atom: 340
# DFT total energy in eV per atom: -3.662
# Total magnetic moment in μB/atom: 0.956

Record 4
# PBE K2YMn, optimized geometry
data_K2YMn
_cell_length_a 6.0235
_cell_length_b 6.0235
_cell_length_c 6.0235
_cell_angle_alpha 60.00
_cell_angle_beta 60.00
_cell_angle_gamma 60.00
_symmetry_space_group_name_H-M 'P 1'
_symmetry_Int_Tables_number 1
_symmetry_space_group_name_Hall 'P 1'
loop_
_atom_site_label
_atom_site_type_symbol
_atom_site_fract_x
_atom_site_fract_y
_atom_site_fract_z
Mn1 Mn 0.0000 0.0000 0.0000
Y1 Y 0.5000 0.5000 0.5000
K1 K 0.2500 0.2500 0.2500
K2 K 0.7500 0.7500 0.7500
# ΔE_f in eV per formula unit: 4.3
# Energy above the lowest structure with this stoichiometry in meV/atom: 614
# DFT total energy in eV per atom: -3.388
# Total magnetic moment in μB/atom: 0.639

Record 5
# PBE K2YMn, optimized geometry
data_K2YMn
_cell_length_a 4.3111
_cell_length_b 4.3111
_cell_length_c 8.5125
_cell_angle_alpha 90.00
_cell_angle_beta 90.00
_cell_angle_gamma 90.00
_symmetry_space_group_name_H-M 'P 1'
_symmetry_Int_Tables_number 1
_symmetry_space_group_name_Hall 'P 1'
loop_
_atom_site_label
_atom_site_type_symbol
_atom_site_fract_x
_atom_site_fract_y
_atom_site_fract_z
Y1 Y 0.5000 0.5000 0.7500
K1 K 0.0000 0.0000 0.0329
K2 K 0.0000 0.0000 0.4671
Mn1 Mn 0.5000 0.5000 0.2500
# ΔE_f in eV per formula unit: 4.0
# Energy above the lowest structure with this stoichiometry in meV/atom: 550
# DFT total energy in eV per atom: -3.452
# Total magnetic moment in μB/atom: 1.238

Record 6
# PBE K2YMn, optimized geometry
data_K2YMn
_cell_length_a 3.5137
_cell_length_b 3.5137
_cell_length_c 13.1176
_cell_angle_alpha 90.00
_cell_angle_beta 90.00
_cell_angle_gamma 112.97
_symmetry_space_group_name_H-M 'P 1'
_symmetry_Int_Tables_number 1
_symmetry_space_group_name_Hall 'P 1'
loop_
_atom_site_label
_atom_site_type_symbol
_atom_site_fract_x
_atom_site_fract_y
_atom_site_fract_z
Y1 Y 0.5000 0.5000 0.7500
K1 K 0.0000 0.0000 0.4794
K2 K 0.0000 0.0000 0.0206
Mn1 Mn 0.5000 0.5000 0.2500
# ΔE_f in eV per formula unit: 3.4
# Energy above the lowest structure with this stoichiometry in meV/atom: 384
# DFT total energy in eV per atom: -3.618
# Total magnetic moment in μB/atom: 1.108

Record 7
# PBE KY3Mn, optimized geometry
data_KY3Mn
_cell_length_a 5.4728
_cell_length_b 5.4728
_cell_length_c 5.4728
_cell_angle_alpha 90.00
_cell_angle_beta 90.00
_cell_angle_gamma 90.00
_symmetry_space_group_name_H-M 'P 1'
_symmetry_Int_Tables_number 1
_symmetry_space_group_name_Hall 'P 1'
loop_
_atom_site_label
_atom_site_type_symbol
_atom_site_fract_x
_atom_site_fract_y
_atom_site_fract_z
Y1 Y 0.5000 0.0000 0.0000
Y2 Y 0.0000 0.0000 0.5000
Y3 Y 0.0000 0.5000 0.0000
Mn1 Mn 0.0000 0.0000 0.0000
K1 K 0.5000 0.5000 0.5000
# ΔE_f in eV per formula unit: 1.8
# Energy above the lowest structure with this stoichiometry in meV/atom: 0
# DFT total energy in eV per atom: -5.565
# Total magnetic moment in μB/atom: 0.254

Record 8
# PBE K2YMn, optimized geometry
data_K2YMn
_cell_length_a 7.4511
_cell_length_b 7.4511
_cell_length_c 7.4511
_cell_angle_alpha 143.83
_cell_angle_beta 143.83
_cell_angle_gamma 52.09
_symmetry_space_group_name_H-M 'P 1'
_symmetry_Int_Tables_number 1
_symmetry_space_group_name_Hall 'P 1'
loop_
_atom_site_label
_atom_site_type_symbol
_atom_site_fract_x
_atom_site_fract_y
_atom_site_fract_z
K1 K 0.0000 0.0000 0.0000
K2 K 0.5000 0.5000 0.0000
Y1 Y 0.7500 0.2500 0.5000
Mn1 Mn 0.2500 0.7500 0.5000
# ΔE_f in eV per formula unit: 3.2
# Energy above the lowest structure with this stoichiometry in meV/atom: 346
# DFT total energy in eV per atom: -3.656
# Total magnetic moment in μB/atom: 0.785

Record 9
# PBE K2YMn, optimized geometry
data_K2YMn
_cell_length_a 13.4174
_cell_length_b 13.4174
_cell_length_c 13.4174
_cell_angle_alpha 15.35
_cell_angle_beta 15.35
_cell_angle_gamma 15.35
_symmetry_space_group_name_H-M 'P 1'
_symmetry_Int_Tables_number 1
_symmetry_space_group_name_Hall 'P 1'
loop_
_atom_site_label
_atom_site_type_symbol
_atom_site_fract_x
_atom_site_fract_y
_atom_site_fract_z
K1 K 0.5069 0.5069 0.5069
K2 K 0.9931 0.9931 0.9931
Mn1 Mn 0.2500 0.2500 0.2500
Y1 Y 0.7500 0.7500 0.7500
# ΔE_f in eV per formula unit: 3.3
# Energy above the lowest structure with this stoichiometry in meV/atom: 376
# DFT total energy in eV per atom: -3.626
# Total magnetic moment in μB/atom: 1.113

Record 10
# PBE K2YMn, optimized geometry
data_K2YMn
_cell_length_a 3.8177
_cell_length_b 3.8177
_cell_length_c 12.7203
_cell_angle_alpha 82.07
_cell_angle_beta 82.07
_cell_angle_gamma 59.77
_symmetry_space_group_name_H-M 'P 1'
_symmetry_Int_Tables_number 1
_symmetry_space_group_name_Hall 'P 1'
loop_
_atom_site_label
_atom_site_type_symbol
_atom_site_fract_x
_atom_site_fract_y
_atom_site_fract_z
K1 K 0.7754 0.7754 0.6945
K2 K 0.9850 0.9850 0.0234
Y1 Y 0.2280 0.2280 0.3114
Mn1 Mn 0.5116 0.5116 0.4708
# ΔE_f in eV per formula unit: 2.3
# Energy above the lowest structure with this stoichiometry in meV/atom: 108
# DFT total energy in eV per atom: -3.894
# Total magnetic moment in μB/atom: 0.800

Record 11
# PBE K2YMn, optimized geometry
data_K2YMn
_cell_length_a 5.9024
_cell_length_b 5.9024
_cell_length_c 5.9024
_cell_angle_alpha 120.17
_cell_angle_beta 120.17
_cell_angle_gamma 89.71
_symmetry_space_group_name_H-M 'P 1'
_symmetry_Int_Tables_number 1
_symmetry_space_group_name_Hall 'P 1'
loop_
_atom_site_label
_atom_site_type_symbol
_atom_site_fract_x
_atom_site_fract_y
_atom_site_fract_z
Y1 Y 0.7500 0.2500 0.5000
K1 K 0.0000 0.0000 0.0000
K2 K 0.2500 0.7500 0.5000
Mn1 Mn 0.5000 0.5000 0.0000
# ΔE_f in eV per formula unit: 3.5
# Energy above the lowest structure with this stoichiometry in meV/atom: 429
# DFT total energy in eV per atom: -3.573
# Total magnetic moment in μB/atom: 0.741

Record 12
# PBE KY3Mn, optimized geometry
data_KY3Mn
_cell_length_a 5.2213
_cell_length_b 5.2213
_cell_length_c 5.2213
_cell_angle_alpha 90.00
_cell_angle_beta 90.00
_cell_angle_gamma 90.00
_symmetry_space_group_name_H-M 'P 1'
_symmetry_Int_Tables_number 1
_symmetry_space_group_name_Hall 'P 1'
loop_
_atom_site_label
_atom_site_type_symbol
_atom_site_fract_x
_atom_site_fract_y
_atom_site_fract_z
Y1 Y 0.0000 0.0000 0.5000
Y2 Y 0.0000 0.5000 0.0000
Y3 Y 0.5000 0.0000 0.0000
K1 K 0.0000 0.0000 0.0000
Mn1 Mn 0.5000 0.5000 0.5000
# ΔE_f in eV per formula unit: 9.7
# Energy above the lowest structure with this stoichiometry in meV/atom: 1568
# DFT total energy in eV per atom: -3.997
# Total magnetic moment in μB/atom: 0.004

Record 13
# PBE K2YMn, optimized geometry
data_K2YMn
_cell_length_a 10.9213
_cell_length_b 10.9213
_cell_length_c 10.9213
_cell_angle_alpha 160.26
_cell_angle_beta 156.88
_cell_angle_gamma 30.58
_symmetry_space_group_name_H-M 'P 1'
_symmetry_Int_Tables_number 1
_symmetry_space_group_name_Hall 'P 1'
loop_
_atom_site_label
_atom_site_type_symbol
_atom_site_fract_x
_atom_site_fract_y
_atom_site_fract_z
Mn1 Mn 0.7500 0.2500 0.5000
K1 K 0.5945 0.5945 0.0000
K2 K 0.9055 0.9055 0.0000
Y1 Y 0.2500 0.7500 0.5000
# ΔE_f in eV per formula unit: 2.1
# Energy above the lowest structure with this stoichiometry in meV/atom: 71
# DFT total energy in eV per atom: -3.932
# Total magnetic moment in μB/atom: 0.766

Record 14
# PBE K2YMn, optimized geometry
data_K2YMn
_cell_length_a 7.7907
_cell_length_b 7.7907
_cell_length_c 7.7907
_cell_angle_alpha 153.19
_cell_angle_beta 128.59
_cell_angle_gamma 58.92
_symmetry_space_group_name_H-M 'P 1'
_symmetry_Int_Tables_number 1
_symmetry_space_group_name_Hall 'P 1'
loop_
_atom_site_label
_atom_site_type_symbol
_atom_site_fract_x
_atom_site_fract_y
_atom_site_fract_z
K1 K 0.0046 0.0046 0.0000
K2 K 0.7068 0.2068 0.5000
Y1 Y 0.3121 0.8121 0.5000
Mn1 Mn 0.4765 0.4765 0.0000
# ΔE_f in eV per formula unit: 2.8
# Energy above the lowest structure with this stoichiometry in meV/atom: 253
# DFT total energy in eV per atom: -3.749
# Total magnetic moment in μB/atom: 0.785

Record 15
# PBE KYMn3, optimized geometry
data_KYMn3
_cell_length_a 5.4625
_cell_length_b 5.4625
_cell_length_c 5.4625
_cell_angle_alpha 90.00
_cell_angle_beta 90.00
_cell_angle_gamma 90.00
_symmetry_space_group_name_H-M 'P 1'
_symmetry_Int_Tables_number 1
_symmetry_space_group_name_Hall 'P 1'
loop_
_atom_site_label
_atom_site_type_symbol
_atom_site_fract_x
_atom_site_fract_y
_atom_site_fract_z
Mn1 Mn 0.0000 0.0000 0.5000
Mn2 Mn 0.0000 0.5000 0.0000
Mn3 Mn 0.5000 0.0000 0.0000
Y1 Y 0.0000 0.0000 0.0000
K1 K 0.5000 0.5000 0.5000
# ΔE_f in eV per formula unit: 6.6
# Energy above the lowest structure with this stoichiometry in meV/atom: 0
# DFT total energy in eV per atom: -5.685
# Total magnetic moment in μB/atom: 2.320